1.
This record from Alexandria describes Co2SiMo after structural relaxation. The functional is PBE.

Computed properties:
Magnetic moment, μB/cell: 1.78
Formation energy from raw total energies, eV/atom: -0.07

Unit cell a=2.927 b=4.070 c=4.146 alpha=90.00 beta=90.00 gamma=90.00
Space group Pmmm (No. 47)
Asymmetric unit:
1 Co 0.000 0.000 0.000 x1
2 Co 0.500 0.000 0.500 x1
3 Si 0.000 0.500 0.500 x1
4 Mo 0.500 0.500 0.000 x1


2.
This record from Alexandria describes CoSiMo2 after structural relaxation. The functional is PBE.

Computed properties:
Magnetic moment, μB/cell: 0.00
Formation energy from raw total energies, eV/atom: -0.05

Unit cell a=2.810 b=2.810 c=6.848 alpha=90.00 beta=90.00 gamma=90.00
Space group P4/mmm (No. 123)
Asymmetric unit:
1 Co 0.000 0.000 0.000 x1
2 Si 0.000 0.000 0.500 x1
3 Mo 0.500 0.500 0.250 x2


3.
This record from Alexandria describes Co2SiMo after structural relaxation. The functional is PBE.

Computed properties:
Magnetic moment, μB/cell: 0.00
Formation energy from raw total energies, eV/atom: -0.19

Unit cell a=3.635 b=3.635 c=7.318 alpha=90.00 beta=90.00 gamma=90.00
Space group I-4m2 (No. 119)
Asymmetric unit:
1 Co 0.000 0.000 0.000 x2
2 Co 0.000 0.500 0.250 x2
3 Si 0.000 0.000 0.500 x2
4 Mo 0.000 0.500 0.750 x2


4.
This record from Alexandria describes Co6SiMo after structural relaxation. The functional is PBE.

Computed properties:
Magnetic moment, μB/cell: 0.04
Formation energy from raw total energies, eV/atom: -0.15

Unit cell a=7.034 b=10.028 c=10.014 alpha=90.00 beta=90.00 gamma=90.00
Space group Cmmm (No. 65)
Asymmetric unit:
1 Co 0.000 0.000 0.000 x2
2 Co 0.000 0.000 0.500 x2
3 Co 0.000 0.249 0.246 x8
4 Co 0.000 0.500 0.000 x2
5 Co 0.000 0.500 0.500 x2
6 Co 0.245 0.124 0.373 x16
7 Co 0.246 0.126 0.123 x16
8 Si 0.000 0.000 0.245 x4
9 Si 0.000 0.258 0.000 x4
10 Mo 0.000 0.257 0.500 x4
11 Mo 0.000 0.500 0.246 x4


5.
This record from Alexandria describes CoSi2Mo after structural relaxation. The functional is PBE.

Computed properties:
Magnetic moment, μB/cell: 0.00
Formation energy from raw total energies, eV/atom: -0.01

Unit cell a=2.643 b=2.643 c=7.614 alpha=90.00 beta=90.00 gamma=90.00
Space group P4mm (No. 99)
Asymmetric unit:
1 Co 0.000 0.000 0.000 x1
2 Si 0.000 0.000 0.509 x1
3 Si 0.500 0.500 0.806 x1
4 Mo 0.500 0.500 0.247 x1


6.
This record from Alexandria describes Co2SiMo after structural relaxation. The functional is PBE.

Computed properties:
Magnetic moment, μB/cell: 3.10
Formation energy from raw total energies, eV/atom: -0.14

Unit cell a=3.835 b=2.661 c=9.677 alpha=90.00 beta=90.00 gamma=90.00
Space group Amm2 (No. 38)
Asymmetric unit:
1 Co 0.000 0.000 0.000 x2
2 Co 0.500 0.000 0.391 x2
3 Si 0.000 0.000 0.269 x2
4 Mo 0.500 0.000 0.642 x2


7.
This record from Alexandria describes CoSiMo2 after structural relaxation. The functional is PBE.

Computed properties:
Magnetic moment, μB/cell: 1.30
Formation energy from raw total energies, eV/atom: 0.14

Unit cell a=2.7555 b=2.7555 c=25.4818 alpha=90.00 beta=90.00 gamma=120.00
Space group R-3m (No. 166, hexagonal axes)
Asymmetric unit:
1 Co 0.0000 0.0000 0.0000 x3
2 Si 0.0000 0.0000 0.5000 x3
3 Mo 0.0000 0.0000 0.2514 x6


8.
This record from Alexandria describes Co2SiMo after structural relaxation. The functional is PBE.

Computed properties:
Magnetic moment, μB/cell: 0.00
Formation energy from raw total energies, eV/atom: -0.05

Unit cell a=2.6564 b=2.6564 c=23.9837 alpha=90.00 beta=90.00 gamma=120.00
Space group R-3m (No. 166, hexagonal axes)
Asymmetric unit:
1 Co 0.0000 0.0000 0.2422 x6
2 Si 0.0000 0.0000 0.5000 x3
3 Mo 0.0000 0.0000 0.0000 x3


9.
This record from Alexandria describes Co3SiMo2 after structural relaxation. The functional is PBE.

Computed properties:
Magnetic moment, μB/cell: 0.00
Formation energy from raw total energies, eV/atom: -0.31

Unit cell a=4.7664 b=4.7664 c=7.3924 alpha=90.00 beta=90.00 gamma=120.00
Space group P6_3/mmc (No. 194)
Asymmetric unit:
1 Co 0.1712 0.3424 0.2500 x6
2 Si 0.0000 0.0000 0.0000 x2
3 Mo 0.3333 0.6667 0.5675 x4


10.
This record from Alexandria describes Co2SiMo after structural relaxation. The functional is PBE.

Computed properties:
Magnetic moment, μB/cell: 0.00
Formation energy from raw total energies, eV/atom: -0.14

Unit cell a=8.398 b=2.676 c=4.416 alpha=90.00 beta=100.77 gamma=90.00
Space group Cm (No. 8)
Asymmetric unit:
1 Co 0.000 0.000 0.000 x2
2 Co 0.249 0.000 0.704 x2
3 Si 0.235 0.500 0.154 x2
4 Mo 0.497 0.000 0.499 x2


11.
This record from Alexandria describes Co2SiMo after structural relaxation. The functional is PBE.

Computed properties:
Magnetic moment, μB/cell: 0.57
Formation energy from raw total energies, eV/atom: -0.14

Unit cell a=3.670 b=3.670 c=3.604 alpha=90.00 beta=90.00 gamma=90.00
Space group P4/mmm (No. 123)
Asymmetric unit:
1 Co 0.000 0.500 0.000 x2
2 Si 0.000 0.000 0.500 x1
3 Mo 0.500 0.500 0.500 x1


12.
This record from Alexandria describes CoSiMo2 after structural relaxation. The functional is PBE.

Computed properties:
Magnetic moment, μB/cell: 0.00
Formation energy from raw total energies, eV/atom: -0.08

Unit cell a=3.130 b=3.130 c=5.593 alpha=90.00 beta=90.00 gamma=90.00
Space group P4mm (No. 99)
Asymmetric unit:
1 Co 0.000 0.000 0.000 x1
2 Si 0.500 0.500 0.783 x1
3 Mo 0.000 0.000 0.525 x1
4 Mo 0.500 0.500 0.261 x1